No. 1
A relaxed Be2ZnP crystal, computed with PBE-GGA.

Unit cell a=3.698 b=3.698 c=3.420 alpha=90.00 beta=90.00 gamma=90.00
Space group P4/mmm (No. 123)
Asymmetric unit:
Be (0.000, 0.500, 0.000) x2
Zn (0.000, 0.000, 0.500) x1
P (0.500, 0.500, 0.500) x1

Properties
Total magnetization (Bohr magnetons per cell): 0.0
Formation energy from the elements (eV/atom): 0.38
Total DFT energy (no corrections) (eV per formula unit): -12.61
Energy above the most stable polymorph in this dataset (eV per atom): 0.155

No. 2
A relaxed InCoSe crystal, computed with PBE-GGA.

Unit cell a=6.312 b=6.321 c=6.326 alpha=71.71 beta=89.61 gamma=71.39
Space group P1 (No. 1)
Asymmetric unit:
In (0.000, 0.000, 0.000) x1
In (0.020, 0.495, 0.475) x1
In (0.526, 0.402, 0.684) x1
In (0.831, 0.065, 0.452) x1
Co (0.134, 0.672, 0.784) x1
Co (0.270, 0.795, 0.369) x1
Co (0.652, 0.930, 0.846) x1
Co (0.666, 0.546, 0.242) x1
Se (0.315, 0.965, 0.651) x1
Se (0.328, 0.512, 0.152) x1
Se (0.536, 0.946, 0.188) x1
Se (0.838, 0.530, 0.918) x1

Properties
Total magnetization (Bohr magnetons per cell): 0.0
Formation energy from raw total energies (kJ per mole of atoms): -16.50
Total DFT energy (no corrections) (eV per formula unit): -13.84
Energy above the most stable polymorph in this dataset (eV per atom): 0.000

No. 3
A relaxed Tm2BiAs crystal, computed with PBE-GGA.

Unit cell a=4.2060 b=4.2060 c=21.1375 alpha=90.00 beta=90.00 gamma=120.00
Space group R-3m (No. 166, hexagonal axes)
Asymmetric unit:
Tm (0.0000, 0.0000, 0.2416) x6
Bi (0.0000, 0.0000, 0.0000) x3
As (0.0000, 0.0000, 0.5000) x3

Properties
Total magnetization (Bohr magnetons per cell): 0.0
Formation energy from the elements (eV/atom): -1.12
Total DFT energy (no corrections) (eV per formula unit): -21.94